[1]
Below is a relaxed SbPbS2Cl crystal, with properties calculated at the PBE level.

The structure in extended XYZ format:
```
5
Lattice="5.3262 0.0000 0.0000 0.0000 5.3262 0.0000 0.0000 0.0000 5.2016" Properties=species:S:1:pos:R:3 pbc="T T T"
Sb 0.0000 0.0000 0.0000
Pb 2.6631 2.6631 2.6008
S 0.0000 2.6631 0.0000
S 2.6631 0.0000 0.0000
Cl 0.0000 0.0000 2.6008
```

Properties
**Distance to the lowest polymorph of the same formula**: 380.4 meV per atom
**Formation energy (no corrections)**: -0.153 eV/atom

[2]
Below is a relaxed Ba2ZnIr crystal, with properties calculated at the PBE level.

The structure in extended XYZ format:
```
4
Lattice="5.3675 0.0000 0.0000 0.0000 5.3675 0.0000 0.0000 0.0000 4.1137" Properties=species:S:1:pos:R:3 pbc="T T T"
Ba 0.0000 2.6837 0.0000
Ba 2.6837 0.0000 0.0000
Zn 0.0000 0.0000 2.0568
Ir 2.6837 2.6837 2.0568
```

Properties
**Energy of formation**: 0.056 eV/atom

[3]
Below is a relaxed NdMn crystal, with properties calculated at the PBE level.

The structure in extended XYZ format:
```
4
Lattice="4.6050 0.0000 0.0000 0.0000 3.5037 0.0000 -2.2983 0.0000 5.6601" Properties=species:S:1:pos:R:3 pbc="T T T"
Nd 0.0015 0.8759 1.5965
Nd 2.3052 2.6278 4.0637
Mn -0.0007 0.8759 5.0661
Mn 2.3074 2.6278 0.5940
```

Properties
**Energy of formation**: 0.255 eV/atom

[4]
Below is a relaxed HgPt2Br crystal, with properties calculated at the PBE level.

The structure in extended XYZ format:
```
4
Lattice="4.7693 -1.6783 0.0000 4.7693 1.6783 0.0000 -4.1403 0.0000 6.1528" Properties=species:S:1:pos:R:3 pbc="T T T"
Hg 0.0000 0.0000 0.0000
Pt 2.6148 0.0000 0.9777
Pt 2.7835 0.0000 5.1750
Br -2.0702 0.0000 3.0764
```

Properties
**Distance to the lowest polymorph of the same formula**: 0.0 meV per atom
**Formation energy (no corrections)**: 0.145 eV/atom

[5]
Below is a relaxed YErB crystal, with properties calculated at the PBE level.

The structure in extended XYZ format:
```
18
Lattice="7.5659 0.0000 0.0000 0.0000 4.6487 0.0000 -1.1982 0.0000 10.8213" Properties=species:S:1:pos:R:3 pbc="T T T"
Y -0.2833 1.1622 3.0334
Y 1.9477 3.4865 9.8476
Y 2.8994 3.4865 6.6047
Y 3.4683 1.1622 4.2166
Y 4.4200 1.1622 0.9737
Y 6.6510 3.4865 7.7879
Er -0.3789 1.1622 10.1366
Er 0.5768 1.1622 6.1341
Er 2.1298 3.4865 2.5003
Er 4.2379 1.1622 8.3210
Er 5.7909 3.4865 4.6872
Er 6.7466 3.4865 0.6847
B 0.8725 3.4865 4.8482
B 1.8542 1.1622 1.5430
B 1.6206 1.1622 8.4870
B 4.7472 3.4865 2.3343
B 4.5135 3.4865 9.2783
B 5.4952 1.1622 5.9731
```

Properties
**Energy of formation**: 0.013 eV/atom

[6]
Below is a relaxed MoIrBr4 crystal, with properties calculated at the PBE level.

The structure in extended XYZ format:
```
6
Lattice="0.0000 4.2902 4.2902 4.2902 0.0000 4.2902 4.2902 4.2902 0.0000" Properties=species:S:1:pos:R:3 pbc="T T T"
Mo 0.0000 0.0000 0.0000
Ir 2.1451 2.1451 2.1451
Br 5.3551 3.2253 3.2253
Br 3.2253 5.3551 3.2253
Br 3.2253 3.2253 5.3551
Br 5.3551 5.3551 5.3551
```

Properties
**Formation energy (no corrections)**: 1.859 eV/atom

[7]
Below is a relaxed SnRhI2 crystal, with properties calculated at the PBE level.

The structure in extended XYZ format:
```
4
Lattice="0.0000 3.7600 3.7600 3.7600 0.0000 3.7600 3.7600 3.7600 0.0000" Properties=species:S:1:pos:R:3 pbc="T T T"
Sn 0.0000 0.0000 0.0000
Rh 3.7600 3.7600 3.7600
I 1.8800 1.8800 1.8800
I 5.6400 5.6400 5.6400
```

Properties
**Distance to the lowest polymorph of the same formula**: 509.4 meV per atom
**Formation energy (no corrections)**: 0.443 eV/atom

[8]
Below is a relaxed Cr2CoTcH crystal, with properties calculated at the PBE level.

The structure in extended XYZ format:
```
5
Lattice="3.7528 0.0000 0.0000 0.0000 3.7528 0.0000 0.0000 0.0000 3.5473" Properties=species:S:1:pos:R:3 pbc="T T T"
Cr 0.0000 1.8764 0.0000
Cr 1.8764 0.0000 0.0000
Co 0.0000 0.0000 1.7737
Tc 1.8764 1.8764 1.7737
H 0.0000 0.0000 0.0000
```

Properties
**Distance to the lowest polymorph of the same formula**: 0.0 meV per atom

| no. | calculated volume (Å³ per atom) |
| --- | --- |
| 1 | 29.51 |
| 2 | 29.63 |
| 3 | 22.83 |
| 4 | 24.62 |
| 5 | 21.14 |
| 6 | 26.32 |
| 7 | 26.58 |
| 8 | 9.99 |